[1]
First-principles (PBE) data for an optimized crystal structure of Dy2Er7Tm2, as listed in the Alexandria database.

Summary:
energy of formation from the pure elements = 0.1642 eV per atom
symmetry = C2/m, No. 12
spin magnetization = 0.000 μB/f.u.
ρ = 8.9 g/cm3

The structure in extended XYZ format:
```
11
Lattice="5.507 -5.668 0.000 5.507 5.668 0.000 -2.387 0.000 5.477" Properties=species:S:1:pos:R:3 pbc="T T T"
Dy 0.254 0.000 1.660
Dy 8.373 0.000 3.817
Er 2.819 2.693 1.763
Er 0.798 0.000 5.027
Er 5.808 2.693 3.714
Er 4.314 0.000 2.739
Er 2.819 -2.693 1.763
Er 7.829 0.000 0.450
Er 5.808 -2.693 3.714
Tm 5.507 2.449 0.000
Tm 5.507 -2.449 0.000
```

[2]
First-principles (PBE) data for an optimized crystal structure of DyEr7Tm4, as listed in the Alexandria database.

Summary:
energy of formation from the pure elements = 0.0927 eV per atom
symmetry = P-1, No. 2
spin magnetization = 0.000 μB/f.u.
ρ = 9.1 g/cm3

The structure in extended XYZ format:
```
12
Lattice="6.407 0.000 0.000 0.992 6.622 0.000 2.061 0.381 8.654" Properties=species:S:1:pos:R:3 pbc="T T T"
Dy 0.000 0.000 0.000
Er 0.496 3.311 0.000
Er 2.119 0.862 3.360
Er 4.051 4.890 5.549
Er 3.451 1.675 0.440
Er 6.009 5.329 8.214
Er 5.409 2.114 3.104
Er 7.340 6.142 5.293
Tm 2.295 4.201 2.694
Tm 3.968 1.548 6.177
Tm 5.492 5.456 2.477
Tm 7.165 2.803 5.960
```

[3]
First-principles (PBE) data for an optimized crystal structure of DyEr3Tm4, as listed in the Alexandria database.

Summary:
energy of formation from the pure elements = -0.0025 eV per atom
symmetry = Pmn2_1, No. 31
spin magnetization = 0.000 μB/f.u.
ρ = 9.1 g/cm3

The structure in extended XYZ format:
```
16
Lattice="11.054 0.000 0.000 0.000 7.152 0.000 0.000 0.000 6.183" Properties=species:S:1:pos:R:3 pbc="T T T"
Dy 0.000 0.899 0.000
Dy 5.527 6.253 3.092
Er 0.000 6.253 3.090
Er 2.764 0.899 2.062
Er 2.763 6.253 5.154
Er 5.527 0.899 6.181
Er 8.289 0.899 2.062
Er 8.291 6.253 5.154
Tm 0.000 2.685 3.094
Tm 0.000 4.463 6.181
Tm 2.758 4.464 2.060
Tm 2.769 2.688 5.152
Tm 5.527 2.689 3.089
Tm 5.527 4.467 0.002
Tm 8.285 2.688 5.152
Tm 8.296 4.464 2.060
```